Material: Te2PbNF
Method: DFT, PBE
State: relaxed

Summary:
As for the raw total energy: -3.260 eV/atom. The value obtained for the formation energy without anion corrections is 0.778 eV per atom. As for the total moment: 0.0001 μB/atom. Its polymorph energy (0 for the lowest one) is 0.000 kcal/mol of atoms.

Unit cell a=4.829 b=4.829 c=4.936 alpha=90.00 beta=90.00 gamma=90.00
Sites, in units of the cell vectors:
Te  0.000  0.500  0.000
Te  0.500  0.000  0.000
Pb  0.000  0.000  0.500
N  0.500  0.500  0.500
F  0.500  0.500  0.000